# 1
Compound: NaLiGa2N
Source: Alexandria via LeMat-Bulk
Functional: GGA-PBE
Structure: optimized geometry Values from VASP.

Properties
Formation energy (no corrections) ... 0.5362 eV/atom
Electronic total energy ... -14.93 eV for the cell shown
Total magnetic moment ... 0.00 μB/f.u.

Quantum ESPRESSO input file:
```
&SYSTEM
  ibrav = 0, nat = 5, ntyp = 4
/
ATOMIC_SPECIES
Na 22.99 Na.upf
Li 6.94 Li.upf
Ga 69.72 Ga.upf
N 14.01 N.upf
CELL_PARAMETERS angstrom
4.8629 0.0000 0.0000
0.0000 4.8629 0.0000
0.0000 0.0000 3.7138
ATOMIC_POSITIONS crystal
Na 0.0000 0.0000 0.0000
Li 0.5000 0.5000 0.5000
Ga 0.0000 0.5000 0.5000
Ga 0.5000 0.0000 0.5000
N 0.5000 0.5000 0.0000
```

# 2
Compound: Li2NbGaN4
Source: Alexandria via LeMat-Bulk
Functional: GGA-PBE
Structure: optimized geometry Values from VASP.

Properties
Formation energy (no corrections) ... -0.2046 eV/atom
Electronic total energy ... -103.73 eV for the cell shown
Total magnetic moment ... 0.00 μB/f.u.

Quantum ESPRESSO input file:
```
&SYSTEM
  ibrav = 0, nat = 16, ntyp = 4
/
ATOMIC_SPECIES
Li 6.94 Li.upf
Nb 92.91 Nb.upf
Ga 69.72 Ga.upf
N 14.01 N.upf
CELL_PARAMETERS angstrom
-3.0274 3.0828 4.4923
3.0274 -3.0828 4.4923
3.0274 3.0828 -4.4923
ATOMIC_POSITIONS crystal
Li 0.0000 0.0000 0.0000
Li 0.5000 0.0000 0.0000
Li 0.5000 0.0000 0.5000
Li 0.5000 0.5000 0.5000
Nb 0.0000 0.5000 0.5000
Nb 0.5000 0.5000 0.0000
Ga 0.0000 0.0000 0.5000
Ga 0.0000 0.5000 0.0000
N 0.2059 0.7375 0.4684
N 0.2309 0.2625 0.9684
N 0.2573 0.2738 0.5166
N 0.2573 0.7407 0.9834
N 0.7427 0.2593 0.0166
N 0.7427 0.7262 0.4834
N 0.7691 0.7375 0.0316
N 0.7941 0.2625 0.5316
```

# 3
Compound: Li2NbGaN
Source: Alexandria via LeMat-Bulk
Functional: GGA-PBE
Structure: optimized geometry Values from VASP.

Properties
Formation energy (no corrections) ... -0.4618 eV/atom
Electronic total energy ... -27.56 eV for the cell shown
Total magnetic moment ... 0.00 μB/f.u.

Quantum ESPRESSO input file:
```
&SYSTEM
  ibrav = 0, nat = 5, ntyp = 4
/
ATOMIC_SPECIES
Li 6.94 Li.upf
Nb 92.91 Nb.upf
Ga 69.72 Ga.upf
N 14.01 N.upf
CELL_PARAMETERS angstrom
3.9671 0.0000 0.0000
0.0000 3.9671 0.0000
0.0000 0.0000 4.1813
ATOMIC_POSITIONS crystal
Li 0.0000 0.5000 0.0000
Li 0.5000 0.0000 0.0000
Nb 0.0000 0.0000 0.5000
Ga 0.5000 0.5000 0.5000
N 0.0000 0.0000 0.0000
```

# 4
Compound: LiNb2GaN
Source: Alexandria via LeMat-Bulk
Functional: GGA-PBE
Structure: optimized geometry Values from VASP.

Properties
Formation energy (no corrections) ... -0.5443 eV/atom
Electronic total energy ... -36.13 eV for the cell shown
Total magnetic moment ... 0.00 μB/f.u.

Quantum ESPRESSO input file:
```
&SYSTEM
  ibrav = 0, nat = 5, ntyp = 4
/
ATOMIC_SPECIES
Li 6.94 Li.upf
Nb 92.91 Nb.upf
Ga 69.72 Ga.upf
N 14.01 N.upf
CELL_PARAMETERS angstrom
4.2427 0.0000 0.0000
0.0000 4.2427 0.0000
0.0000 0.0000 3.9183
ATOMIC_POSITIONS crystal
Li 0.0000 0.0000 0.0000
Nb 0.0000 0.5000 0.5000
Nb 0.5000 0.0000 0.5000
Ga 0.5000 0.5000 0.0000
N 0.0000 0.0000 0.5000
```

# 5
Compound: Li3Np3GaN8
Source: Alexandria via LeMat-Bulk
Functional: GGA-PBE
Structure: optimized geometry Values from VASP.

Properties
Formation energy (no corrections) ... -0.5842 eV/atom
Electronic total energy ... -122.96 eV for the cell shown
Total magnetic moment ... 3.00 μB/f.u.

Quantum ESPRESSO input file:
```
&SYSTEM
  ibrav = 0, nat = 15, ntyp = 4
/
ATOMIC_SPECIES
Li 6.94 Li.upf
Np 237.00 Np.upf
Ga 69.72 Ga.upf
N 14.01 N.upf
CELL_PARAMETERS angstrom
5.5258 -3.2608 0.0000
5.5258 3.2608 0.0000
-3.0364 0.0000 5.3861
ATOMIC_POSITIONS crystal
Li 0.0000 0.0000 0.0000
Li 0.0000 0.5000 0.5000
Li 0.5000 0.0000 0.5000
Np 0.0000 0.5000 0.0000
Np 0.5000 0.0000 0.0000
Np 0.5000 0.5000 0.5000
Ga 0.0000 0.0000 0.5000
N 0.2211 0.7303 0.2583
N 0.2475 0.2475 0.7794
N 0.2671 0.2671 0.2482
N 0.2697 0.7789 0.7417
N 0.7303 0.2211 0.2583
N 0.7329 0.7329 0.7518
N 0.7525 0.7525 0.2206
N 0.7789 0.2697 0.7417
```

# 6
Compound: LiGaN2O
Source: Alexandria via LeMat-Bulk
Functional: GGA-PBE
Structure: optimized geometry Values from VASP.

Properties
Formation energy (no corrections) ... 0.6023 eV/atom
Electronic total energy ... -23.54 eV for the cell shown
Total magnetic moment ... 3.97 μB/f.u.

Quantum ESPRESSO input file:
```
&SYSTEM
  ibrav = 0, nat = 5, ntyp = 4
/
ATOMIC_SPECIES
Li 6.94 Li.upf
Ga 69.72 Ga.upf
N 14.01 N.upf
O 16.00 O.upf
CELL_PARAMETERS angstrom
3.9969 0.0000 0.0000
0.0000 3.9969 0.0000
0.0000 0.0000 3.9027
ATOMIC_POSITIONS crystal
Li 0.0000 0.0000 0.0000
Ga 0.5000 0.5000 0.5000
N 0.0000 0.5000 0.5000
N 0.5000 0.0000 0.5000
O 0.5000 0.5000 0.0000
```

# 7
Compound: LiGaN2O
Source: Alexandria via LeMat-Bulk
Functional: GGA-PBE
Structure: optimized geometry Values from VASP.

Properties
Formation energy (no corrections) ... 1.2816 eV/atom
Electronic total energy ... -20.14 eV for the cell shown
Total magnetic moment ... 2.61 μB/f.u.

Quantum ESPRESSO input file:
```
&SYSTEM
  ibrav = 0, nat = 5, ntyp = 4
/
ATOMIC_SPECIES
Li 6.94 Li.upf
Ga 69.72 Ga.upf
N 14.01 N.upf
O 16.00 O.upf
CELL_PARAMETERS angstrom
3.6592 0.0000 0.0000
0.0000 3.6592 0.0000
0.0000 0.0000 3.6647
ATOMIC_POSITIONS crystal
Li 0.0000 0.0000 0.0000
Ga 0.5000 0.5000 0.5000
N 0.0000 0.5000 0.0000
N 0.5000 0.0000 0.0000
O 0.0000 0.0000 0.5000
```

# 8
Compound: Li2GaOsN
Source: Alexandria via LeMat-Bulk
Functional: GGA-PBE
Structure: optimized geometry Values from VASP.

Properties
Formation energy (no corrections) ... -0.2025 eV/atom
Electronic total energy ... -27.42 eV for the cell shown
Total magnetic moment ... 0.00 μB/f.u.

Quantum ESPRESSO input file:
```
&SYSTEM
  ibrav = 0, nat = 5, ntyp = 4
/
ATOMIC_SPECIES
Li 6.94 Li.upf
Ga 69.72 Ga.upf
Os 190.23 Os.upf
N 14.01 N.upf
CELL_PARAMETERS angstrom
4.0124 0.0000 0.0000
0.0000 4.0124 0.0000
0.0000 0.0000 3.8332
ATOMIC_POSITIONS crystal
Li 0.0000 0.5000 0.0000
Li 0.5000 0.0000 0.0000
Ga 0.0000 0.0000 0.5000
Os 0.5000 0.5000 0.5000
N 0.5000 0.5000 0.0000
```